Density functional theory data (meta-GGA SCAN) for ScAlCd2 at its PBEsol-relaxed geometry.

a b c (Å): 9.8399 3.0653 5.4492
angles (deg): 90.00 102.95 90.00
Sites, in units of the cell vectors:
Sc: 0.0000 0.0000 0.0000
Sc: 0.5000 0.5000 0.0000
Al: 0.2531 0.0000 0.7613
Al: 0.7531 0.5000 0.7613
Cd: 0.0168 0.5000 0.5121
Cd: 0.2614 0.5000 0.2686
Cd: 0.5168 0.0000 0.5121
Cd: 0.7614 0.0000 0.2686

Density of states at the Fermi level: 4.6 states/eV per cell
Uncorrected energy: -20.83 eV/atom
SG: Cm